Material: PmPrTlRh
Method: DFT, GGA-PBE
State: relaxed

Computed properties:
magnetization = 0.0 μB/f.u.
total DFT energy (no corrections) = -5.1971 eV/atom

Lattice parameters (Å, degrees): 5.282 5.282 5.282 60.00 60.00 60.00
Positions (direct):
Pm 0.000 0.000 0.000
Pr 0.500 0.500 0.500
Tl 0.750 0.750 0.750
Rh 0.250 0.250 0.250


Material: Dy3Sb5O12
Method: DFT, GGA-PBE
State: relaxed

Computed properties:
formation energy without anion corrections = -2.249 eV/atom
magnetization = 0.0 μB/f.u.
total DFT energy (no corrections) = -6.9447 eV/atom

Lattice parameters (Å, degrees): 9.426 9.426 9.426 109.47 109.47 109.47
Positions (direct):
Dy 0.250 0.500 0.750
Dy 0.250 0.750 0.500
Dy 0.500 0.250 0.750
Dy 0.500 0.750 0.250
Dy 0.750 0.250 0.500
Dy 0.750 0.500 0.250
Sb 0.000 0.000 0.486
Sb 0.000 0.283 0.283
Sb 0.000 0.486 0.000
Sb 0.000 0.717 0.717
Sb 0.283 0.000 0.283
Sb 0.283 0.283 0.000
Sb 0.486 0.000 0.000
Sb 0.514 0.514 0.514
Sb 0.717 0.000 0.717
Sb 0.717 0.717 0.000
O 0.000 0.295 0.498
O 0.000 0.498 0.295
O 0.000 0.521 0.798
O 0.000 0.798 0.521
O 0.202 0.202 0.723
O 0.202 0.705 0.705
O 0.202 0.723 0.202
O 0.277 0.479 0.479
O 0.295 0.000 0.498
O 0.295 0.498 0.000
O 0.479 0.277 0.479
O 0.479 0.479 0.277
O 0.498 0.000 0.295
O 0.498 0.295 0.000
O 0.502 0.502 0.798
O 0.502 0.798 0.502
O 0.521 0.000 0.798
O 0.521 0.798 0.000
O 0.705 0.202 0.705
O 0.705 0.705 0.202
O 0.723 0.202 0.202
O 0.798 0.000 0.521
O 0.798 0.502 0.502
O 0.798 0.521 0.000


Here are the calculated volume numbers, same order: 26.05 16.12 (Å³ per atom).